## V3Cr4 (PBE-GGA)

Data for V3Cr4 after structural relaxation.

CIF file:
```
data_V3Cr4
_chemical_formula_sum 'V9 Cr12'
_space_group_name_H-M_alt 'R 3 m'
_space_group_IT_number 160
_space_group_name_Hall 'R 3 -2"'
_cell_length_a 4.1037
_cell_length_b 4.1037
_cell_length_c 17.6524
_cell_angle_alpha 90.00
_cell_angle_beta 90.00
_cell_angle_gamma 120.00
loop_
_atom_site_label
_atom_site_fract_x
_atom_site_fract_y
_atom_site_fract_z
_atom_site_occupancy
V1 0.0000 0.0000 0.0000 1
V2 0.0000 0.0000 0.1477 1
V3 0.0000 0.0000 0.4285 1
Cr1 0.0000 0.0000 0.2861 1
Cr2 0.0000 0.0000 0.5745 1
Cr3 0.0000 0.0000 0.7159 1
Cr4 0.0000 0.0000 0.8583 1
```

Summary:
Its calculated formation energy is -0.5 eV/f.u. The calculation puts the total energy at -9.484 eV/atom. For the polymorph energy (0 for the lowest one), the calculation gives 11.8 meV per atom. The value obtained for the magnetic moment is 0.00 μB per cell. Its calculated volume is 12.26 A^3/atom. Its density is 6982 kg/m3.